# 1
## CsCu2I (PBE)

Data for CsCu2I after structural relaxation.

Cell lengths 7.6759, 7.6759, 7.6759 Å; angles 90.00, 90.00, 90.00 degrees
Sites, in units of the cell vectors:
Cs: 0.0000 0.0000 0.0000
Cs: 0.0000 0.5000 0.5000
Cs: 0.5000 0.0000 0.5000
Cs: 0.5000 0.5000 0.0000
Cu: 0.2500 0.2500 0.2500
Cu: 0.2500 0.2500 0.7500
Cu: 0.2500 0.7500 0.2500
Cu: 0.2500 0.7500 0.7500
Cu: 0.7500 0.2500 0.2500
Cu: 0.7500 0.2500 0.7500
Cu: 0.7500 0.7500 0.2500
Cu: 0.7500 0.7500 0.7500
I: 0.0000 0.0000 0.5000
I: 0.0000 0.5000 0.0000
I: 0.5000 0.0000 0.0000
I: 0.5000 0.5000 0.5000

Results
size of the total moment: 0.00 μB/cell
polymorph energy (0 for the lowest one): 59 kJ/mol of formula units
space group: Fm-3m

# 2
## Cs3CuI (PBE)

Data for Cs3CuI after structural relaxation.

Cell lengths 6.8198, 6.8198, 6.8198 Å; angles 90.00, 90.00, 90.00 degrees
Sites, in units of the cell vectors:
Cs: 0.0000 0.0000 0.5000
Cs: 0.0000 0.5000 0.0000
Cs: 0.5000 0.0000 0.0000
Cu: 0.0000 0.0000 0.0000
I: 0.5000 0.5000 0.5000

Results
size of the total moment: 0.00 μB/cell
polymorph energy (0 for the lowest one): 0 kJ/mol of formula units
space group: Pm-3m

# 3
## Cs2CuI5 (PBE)

Data for Cs2CuI5 after structural relaxation.

Cell lengths 8.2165, 7.9644, 8.9791 Å; angles 57.64, 54.97, 67.39 degrees
Sites, in units of the cell vectors:
Cs: 0.0000 0.0000 0.5000
Cs: 0.5000 0.5000 0.0000
Cu: 0.2524 0.2524 0.7476
I: 0.0629 0.4406 0.5594
I: 0.4406 0.0629 0.9371
I: 0.5051 0.9909 0.4949
I: 0.7468 0.7468 0.2532
I: 0.9909 0.5051 0.0091

Results
size of the total moment: 0.00 μB/cell
space group: Fmm2

# 4
## CsCuI3 (PBE)

Data for CsCuI3 after structural relaxation.

Cell lengths 4.5651, 10.5928, 9.2232 Å; angles 90.00, 92.97, 90.00 degrees
Sites, in units of the cell vectors:
Cs: 0.0084 0.2500 0.0794
Cs: 0.9916 0.7500 0.9206
Cu: 0.4582 0.2500 0.6535
Cu: 0.5418 0.7500 0.3465
I: 0.0546 0.7500 0.4827
I: 0.4781 0.0469 0.8134
I: 0.4781 0.4531 0.8134
I: 0.5219 0.5469 0.1866
I: 0.5219 0.9531 0.1866
I: 0.9454 0.2500 0.5173

Results
size of the total moment: 0.00 μB/cell
space group: P2_1/m

no.,calculated total energy (eV for the cell shown),E_form (uncorrected) (kcal/mol of atoms)
1,-33.279,13.123
2,-9.575,-6.310
3,-20.171,-19.075
4,-25.545,-14.632